A geometry-optimized LiCaCd4 structure. Source: Alexandria via LeMat-Bulk, functional GGA-PBEsol.

Computed properties:
space-group type: No. 216
VASP energy: -10.34 eV/f.u.
N(E_F): 0.5566 states/eV/atom
ρ: 6.0 g/cm3
energy of formation: -241.8 meV per atom

Unit cell a=5.790 b=5.790 c=5.790 alpha=60.00 beta=60.00 gamma=60.00
Atoms (fractional coordinates):
Li: 0.000 0.000 0.000
Ca: 0.250 0.250 0.250
Cd: 0.123 0.626 0.626
Cd: 0.626 0.123 0.626
Cd: 0.626 0.626 0.123
Cd: 0.626 0.626 0.626

=====

A geometry-optimized Cd7As structure. Source: Alexandria via LeMat-Bulk, functional GGA-PBEsol.

Computed properties:
space-group type: No. 225
VASP energy: -13.11 eV/f.u.
N(E_F): 0.3336 states/eV/atom
ρ: 8.7 g/cm3
energy of formation: 47.2 meV per atom

Unit cell a=6.158 b=6.158 c=6.158 alpha=60.00 beta=60.00 gamma=60.00
Atoms (fractional coordinates):
Cd: 0.000 0.000 0.000
Cd: 0.000 0.000 0.500
Cd: 0.000 0.500 0.000
Cd: 0.000 0.500 0.500
Cd: 0.500 0.000 0.000
Cd: 0.500 0.000 0.500
Cd: 0.500 0.500 0.000
As: 0.500 0.500 0.500

=====

A geometry-optimized BeSiAu structure. Source: Alexandria via LeMat-Bulk, functional GGA-PBEsol.

Computed properties:
space-group type: No. 107
VASP energy: -13.40 eV/f.u.
N(E_F): 0.3066 states/eV/atom
ρ: 9.3 g/cm3
formation energy from raw total energies: 0.0890 eV per atom

Unit cell a=4.270 b=4.270 c=4.270 alpha=132.39 beta=132.39 gamma=69.62
Atoms (fractional coordinates):
Be: 0.000 0.000 0.000
Si: 0.318 0.318 0.000
Au: 0.665 0.665 0.000

=====

A geometry-optimized Li5Fe5Cu2O12 structure. Source: Alexandria via LeMat-Bulk, functional GGA-PBEsol.

Computed properties:
space-group type: No. 5
VASP energy: -158.82 eV/f.u.
N(E_F): 0.5244 states/eV/atom
ρ: 5.1 g/cm3
formation energy from raw total energies: -1.3544 eV per atom

Unit cell a=4.997 b=4.997 c=9.443 alpha=94.48 beta=94.48 gamma=117.54
Atoms (fractional coordinates):
Li: 0.000 0.000 0.000
Li: 0.236 0.255 0.760
Li: 0.426 0.103 0.247
Li: 0.745 0.764 0.240
Li: 0.897 0.574 0.753
Fe: 0.099 0.436 0.246
Fe: 0.152 0.848 0.500
Fe: 0.480 0.520 0.500
Fe: 0.564 0.901 0.754
Fe: 0.664 0.336 0.000
Cu: 0.327 0.673 0.000
Cu: 0.820 0.180 0.500
O: 0.058 0.709 0.131
O: 0.142 0.184 0.379
O: 0.227 0.577 0.630
O: 0.291 0.942 0.869
O: 0.396 0.391 0.117
O: 0.423 0.773 0.370
O: 0.495 0.217 0.609
O: 0.609 0.604 0.883
O: 0.756 0.115 0.135
O: 0.783 0.505 0.391
O: 0.816 0.858 0.621
O: 0.885 0.244 0.865

=====

A geometry-optimized Cr2NiPt structure. Source: Alexandria via LeMat-Bulk, functional GGA-PBEsol.

Computed properties:
space-group type: No. 166
VASP energy: -33.00 eV/f.u.
N(E_F): 1.5272 states/eV/atom
ρ: 12.2 g/cm3
energy of formation: 150.8 meV per atom

Unit cell a=8.541 b=8.541 c=8.541 alpha=17.40 beta=17.40 gamma=17.40
Atoms (fractional coordinates):
Cr: 0.246 0.246 0.246
Cr: 0.754 0.754 0.754
Ni: 0.500 0.500 0.500
Pt: 0.000 0.000 0.000

=====

A geometry-optimized HfZrAu2 structure. Source: Alexandria via LeMat-Bulk, functional GGA-PBEsol.

Computed properties:
space-group type: No. 225
VASP energy: -29.35 eV/f.u.
N(E_F): 1.2172 states/eV/atom
ρ: 14.5 g/cm3
energy of formation: -478.1 meV per atom

Unit cell a=4.760 b=4.760 c=4.760 alpha=60.00 beta=60.00 gamma=60.00
Atoms (fractional coordinates):
Hf: 0.000 0.000 0.000
Zr: 0.500 0.500 0.500
Au: 0.250 0.250 0.250
Au: 0.750 0.750 0.750

=====

A geometry-optimized ZrTeAu4 structure. Source: Alexandria via LeMat-Bulk, functional GGA-PBEsol.

Computed properties:
space-group type: No. 216
VASP energy: -28.92 eV/f.u.
N(E_F): 0.7101 states/eV/atom
ρ: 14.3 g/cm3
formation energy from raw total energies: -0.1016 eV per atom

Unit cell a=5.488 b=5.488 c=5.488 alpha=60.00 beta=60.00 gamma=60.00
Atoms (fractional coordinates):
Zr: 0.000 0.000 0.000
Te: 0.750 0.750 0.750
Au: 0.375 0.375 0.375
Au: 0.375 0.375 0.876
Au: 0.375 0.876 0.375
Au: 0.876 0.375 0.375

=====

A geometry-optimized Cu2SiRh structure. Source: Alexandria via LeMat-Bulk, functional GGA-PBEsol.

Computed properties:
space-group type: No. 47
VASP energy: -22.99 eV/f.u.
N(E_F): 0.6022 states/eV/atom
ρ: 8.7 g/cm3
formation energy from raw total energies: -0.1094 eV per atom

Unit cell a=2.742 b=3.681 c=4.897 alpha=90.00 beta=90.00 gamma=90.00
Atoms (fractional coordinates):
Cu: 0.000 0.000 0.246
Cu: 0.000 0.000 0.754
Si: 0.500 0.500 0.000
Rh: 0.500 0.500 0.500

=====

A geometry-optimized KZnAg structure. Source: Alexandria via LeMat-Bulk, functional GGA-PBEsol.

Computed properties:
space-group type: No. 187
VASP energy: -5.62 eV/f.u.
N(E_F): 0.4117 states/eV/atom
ρ: 4.3 g/cm3
energy of formation: 137.1 meV per atom

Unit cell a=4.480 b=4.480 c=4.738 alpha=90.00 beta=90.00 gamma=120.00
Atoms (fractional coordinates):
K: 0.000 0.000 0.000
Zn: 0.333 0.667 0.500
Ag: 0.667 0.333 0.500

=====

A geometry-optimized CoTcMo structure. Source: Alexandria via LeMat-Bulk, functional GGA-PBEsol.

Computed properties:
space-group type: No. 107
VASP energy: -30.54 eV/f.u.
relative energy among the computed polymorphs: 0 meV per atom
N(E_F): 1.3069 states/eV/atom
ρ: 10.7 g/cm3
energy of formation: 76.2 meV per atom

Unit cell a=6.040 b=6.040 c=6.040 alpha=155.06 beta=155.06 gamma=35.56
Atoms (fractional coordinates):
Co: 0.000 0.000 0.000
Tc: 0.352 0.352 0.000
Mo: 0.662 0.662 0.000

=====

A geometry-optimized FeNiRh structure. Source: Alexandria via LeMat-Bulk, functional GGA-PBEsol.

Computed properties:
space-group type: No. 156
VASP energy: -23.05 eV/f.u.
relative energy among the computed polymorphs: 41 meV per atom
N(E_F): 1.1955 states/eV/atom
ρ: 10.0 g/cm3
energy of formation: 68.4 meV per atom

Unit cell a=4.044 b=4.044 c=2.544 alpha=90.00 beta=90.00 gamma=120.00
Atoms (fractional coordinates):
Fe: 0.000 0.000 0.000
Ni: 0.333 0.667 0.103
Rh: 0.667 0.333 0.575

=====

A geometry-optimized FeNi2Rh structure. Source: Alexandria via LeMat-Bulk, functional GGA-PBEsol.

Computed properties:
space-group type: No. 25
VASP energy: -29.43 eV/f.u.
N(E_F): 1.0312 states/eV/atom
ρ: 9.9 g/cm3
energy of formation: -3.1 meV per atom

Unit cell a=2.569 b=4.105 c=4.379 alpha=90.00 beta=90.00 gamma=90.00
Atoms (fractional coordinates):
Fe: 0.000 0.000 0.000
Ni: 0.500 0.000 0.509
Ni: 0.500 0.500 0.834
Rh: 0.000 0.500 0.340

=====

A geometry-optimized Ca2LaNi structure. Source: Alexandria via LeMat-Bulk, functional GGA-PBEsol.

Computed properties:
space-group type: No. 99
VASP energy: -16.00 eV/f.u.
relative energy among the computed polymorphs: 17 meV per atom
N(E_F): 0.8707 states/eV/atom
ρ: 3.9 g/cm3
energy of formation: -56.6 meV per atom

Unit cell a=3.537 b=3.537 c=9.359 alpha=90.00 beta=90.00 gamma=90.00
Atoms (fractional coordinates):
Ca: 0.000 0.000 0.000
Ca: 0.500 0.500 0.324
La: 0.500 0.500 0.672
Ni: 0.000 0.000 0.518

=====

A geometry-optimized NaSr3Pb structure. Source: Alexandria via LeMat-Bulk, functional GGA-PBEsol.

Computed properties:
space-group type: No. 221
VASP energy: -9.26 eV/f.u.
N(E_F): 0.5593 states/eV/atom
ρ: 3.6 g/cm3
energy of formation: 331.7 meV per atom

Unit cell a=6.078 b=6.078 c=6.078 alpha=90.00 beta=90.00 gamma=90.00
Atoms (fractional coordinates):
Na: 0.000 0.000 0.000
Sr: 0.000 0.000 0.500
Sr: 0.000 0.500 0.000
Sr: 0.500 0.000 0.000
Pb: 0.500 0.500 0.500

=====

A geometry-optimized BaTeMoI2 structure. Source: Alexandria via LeMat-Bulk, functional GGA-PBEsol.

Computed properties:
space-group type: No. 123
VASP energy: -17.50 eV/f.u.
N(E_F): 1.0300 states/eV/atom
ρ: 3.7 g/cm3
formation energy from raw total energies: 0.6955 eV per atom

Unit cell a=6.424 b=6.424 c=6.600 alpha=90.00 beta=90.00 gamma=90.00
Atoms (fractional coordinates):
Ba: 0.000 0.000 0.000
Te: 0.000 0.000 0.500
Mo: 0.500 0.500 0.500
I: 0.000 0.500 0.000
I: 0.500 0.000 0.000

=====

A geometry-optimized ZnTc2Hg structure. Source: Alexandria via LeMat-Bulk, functional GGA-PBEsol.

Computed properties:
space-group type: No. 139
VASP energy: -22.67 eV/f.u.
relative energy among the computed polymorphs: 405 meV per atom
N(E_F): 1.3390 states/eV/atom
ρ: 12.6 g/cm3
energy of formation: 503.1 meV per atom

Unit cell a=5.065 b=5.065 c=5.065 alpha=136.49 beta=136.49 gamma=63.23
Atoms (fractional coordinates):
Zn: 0.000 0.000 0.000
Tc: 0.250 0.750 0.500
Tc: 0.750 0.250 0.500
Hg: 0.500 0.500 0.000

=====

A geometry-optimized YTl2Bi2 structure. Source: Alexandria via LeMat-Bulk, functional GGA-PBEsol.

Computed properties:
space-group type: No. 139
VASP energy: -20.38 eV/f.u.
N(E_F): 0.5604 states/eV/atom
ρ: 9.8 g/cm3
energy of formation: 54.6 meV per atom

Unit cell a=8.429 b=8.429 c=8.429 alpha=149.33 beta=149.33 gamma=43.92
Atoms (fractional coordinates):
Y: 0.000 0.000 0.000
Tl: 0.407 0.407 0.000
Tl: 0.593 0.593 0.000
Bi: 0.250 0.750 0.500
Bi: 0.750 0.250 0.500

=====

A geometry-optimized LiBiS2 structure. Source: Alexandria via LeMat-Bulk, functional GGA-PBEsol.

Computed properties:
space-group type: No. 141
VASP energy: -18.08 eV/f.u.
ρ: 5.5 g/cm3
formation energy from raw total energies: -0.7652 eV per atom

Unit cell a=6.765 b=6.765 c=6.765 alpha=131.90 beta=131.90 gamma=70.39
Atoms (fractional coordinates):
Li: 0.375 0.625 0.750
Li: 0.625 0.375 0.250
Bi: 0.125 0.875 0.250
Bi: 0.875 0.125 0.750
S: 0.128 0.378 0.750
S: 0.378 0.128 0.250
S: 0.622 0.872 0.750
S: 0.872 0.622 0.250

=====

A geometry-optimized GaSe2BrN structure. Source: Alexandria via LeMat-Bulk, functional GGA-PBEsol.

Computed properties:
space-group type: No. 123
VASP energy: -18.53 eV/f.u.
relative energy among the computed polymorphs: 0 meV per atom
N(E_F): 0.4641 states/eV/atom
ρ: 4.7 g/cm3
formation energy from raw total energies: 0.5806 eV per atom

Unit cell a=4.100 b=4.100 c=6.700 alpha=90.00 beta=90.00 gamma=90.00
Atoms (fractional coordinates):
Ga: 0.000 0.000 0.000
Se: 0.000 0.500 0.500
Se: 0.500 0.000 0.500
Br: 0.500 0.500 0.000
N: 0.500 0.500 0.500

=====

A geometry-optimized Li4Cr3Co2Sb3O16 structure. Source: Alexandria via LeMat-Bulk, functional GGA-PBEsol.

Computed properties:
space-group type: No. 8
VASP energy: -195.77 eV/f.u.
N(E_F): 0.4683 states/eV/atom
ρ: 5.1 g/cm3
formation energy from raw total energies: -1.5730 eV per atom

Unit cell a=5.994 b=5.994 c=9.597 alpha=90.53 beta=90.53 gamma=60.42
Atoms (fractional coordinates):
Li: 0.000 0.000 0.000
Li: 0.005 0.005 0.514
Li: 0.355 0.355 0.409
Li: 0.688 0.688 0.883
Cr: 0.191 0.684 0.725
Cr: 0.684 0.191 0.725
Cr: 0.855 0.855 0.226
Co: 0.367 0.367 0.989
Co: 0.692 0.692 0.519
Sb: 0.192 0.192 0.723
Sb: 0.361 0.856 0.224
Sb: 0.856 0.361 0.224
O: 0.020 0.020 0.329
O: 0.020 0.020 0.820
O: 0.058 0.506 0.845
O: 0.181 0.181 0.106
O: 0.182 0.704 0.115
O: 0.337 0.861 0.610
O: 0.357 0.357 0.614
O: 0.503 0.503 0.837
O: 0.506 0.058 0.845
O: 0.539 0.539 0.346
O: 0.543 0.991 0.341
O: 0.694 0.694 0.110
O: 0.704 0.182 0.115
O: 0.858 0.858 0.621
O: 0.861 0.337 0.610
O: 0.991 0.543 0.341